[1]
Compound: HfRePO
Source: the Open Quantum Materials Database
Functional: PBE-GGA
Structure: relaxed

Values from the calculation:
Theoretical density   12.5 Mg/m³
E above lowest polymorph   0 meV per atom
Total energy   -9.60 eV/atom

a b c (Å): 4.0331 4.0331 6.7192
angles (deg): 90.00 90.00 90.00
Last column: nearest neighbours and their distance in Å.
Space group P4/nmm (No. 129, origin choice 2)
Inequivalent atoms, fractional coordinates:
1 Hf 0.2500 0.2500 0.1310  4 O 2.20
2 Re 0.2500 0.7500 0.5000  4 P 2.37
3 P 0.2500 0.2500 0.6864  4 Re 2.37
4 O 0.2500 0.7500 0.0000  4 Hf 2.20

[2]
Compound: Er3TmPb2C2
Source: the Open Quantum Materials Database
Functional: PBE-GGA
Structure: relaxed

Values from the calculation:
Theoretical density   10.3 Mg/m³
Total energy   -6.03 eV/atom

a b c (Å): 3.6027 3.6027 15.9213
angles (deg): 90.00 90.00 120.00
Last column: nearest neighbours and their distance in Å.
Space group P3m1 (No. 156)
Inequivalent atoms, fractional coordinates:
1 Er 0.0000 0.0000 0.0000  3 C 2.46
2 Er 0.0000 0.0000 0.3358  3 C 2.46
3 Er 0.3333 0.6667 0.5001  3 C 2.46
4 Tm 0.3333 0.6667 0.8359  3 C 2.45
5 Pb 0.0000 0.0000 0.6680  3 Tm 3.39, 3 Er 3.39, 6 Pb 3.60
6 Pb 0.3333 0.6667 0.1680  6 Er 3.39, 6 Pb 3.60
7 C 0.6667 0.3333 0.4180  6 Er 2.46
8 C 0.6667 0.3333 0.9178  3 Tm 2.45, 3 Er 2.46

[3]
Compound: SrScAuSe3
Source: the Open Quantum Materials Database
Functional: PBE-GGA
Structure: relaxed

Values from the calculation:
Theoretical density   6.6 Mg/m³
E above lowest polymorph   0 meV per atom
Total energy   -5.00 eV/atom

a b c (Å): 13.5055 4.0196 10.5687
angles (deg): 90.00 90.00 90.00
Last column: nearest neighbours and their distance in Å.
Space group Pnma (No. 62)
Inequivalent atoms, fractional coordinates:
1 Sr 0.2265 0.2500 0.0547  6 Se 3.09-3.18
2 Sc 0.0118 0.2500 0.3304  6 Se 2.72-2.79
3 Au 0.0015 0.7500 0.0989  3 Se 2.61-2.68, 2 Au 2.90
4 Se 0.0995 0.2500 0.5625  3 Sc 2.72-2.75
5 Se 0.1259 0.7500 0.8602  2 Au 2.68, 1 Sc 2.74
6 Se 0.1454 0.7500 0.2636  1 Au 2.61, 2 Sc 2.79

[4]
Compound: Hf3Tl2Si3
Source: the Open Quantum Materials Database
Functional: PBE-GGA
Structure: relaxed

Values from the calculation:
Theoretical density   8.8 Mg/m³
Total energy   -5.74 eV/atom

a b c (Å): 3.5126 3.5126 15.7624
angles (deg): 90.00 90.00 90.00
Last column: nearest neighbours and their distance in Å.
Space group P-4m2 (No. 115)
Inequivalent atoms, fractional coordinates:
1 Hf 0.0000 0.0000 0.0000  4 Si 2.48
2 Hf 0.0000 0.0000 0.1773  1 Hf 2.79, 2 Tl 3.06
3 Tl 0.0000 0.5000 0.6641  2 Hf 3.06, 4 Si 3.13
4 Si 0.0000 0.0000 0.5000  4 Si 2.48
5 Si 0.5000 0.5000 0.0000  4 Hf 2.48
6 Si 0.5000 0.5000 0.5000  4 Si 2.48

[5]
Compound: Tm2As2O5
Source: the Open Quantum Materials Database
Functional: PBE-GGA
Structure: relaxed

Values from the calculation:
Theoretical density   8.4 Mg/m³
E above lowest polymorph   278 meV per atom
Total energy   -6.35 eV/atom

a b c (Å): 4.0898 4.0898 6.6973
angles (deg): 90.00 90.00 90.00
Last column: nearest neighbours and their distance in Å.
Space group P4/mmm (No. 123)
Inequivalent atoms, fractional coordinates:
1 Tm 0.0000 0.0000 0.0000  8 O 2.58
2 Tm 0.0000 0.0000 0.5000  12 O 2.71-2.89
3 As 0.5000 0.5000 0.2076  5 O 1.96-2.05
4 O 0.0000 0.5000 0.2338  2 As 2.05
5 O 0.5000 0.5000 0.5000  2 As 1.96

[6]
Compound: ZrZn4Ni
Source: the Open Quantum Materials Database
Functional: PBE-GGA
Structure: relaxed

Values from the calculation:
ΔE_f   -0.078 eV per atom
Theoretical density   7.6 Mg/m³
Total energy   -3.27 eV/atom

a b c (Å): 7.1013 7.1013 7.1013
angles (deg): 90.00 90.00 90.00
Last column: nearest neighbours and their distance in Å.
Space group F-43m (No. 216)
Inequivalent atoms, fractional coordinates:
1 Zr 0.0000 0.0000 0.0000  12 Zn 2.94, 4 Ni 3.07
2 Zn 0.1246 0.1246 0.6246  6 Zn 2.50-2.52
3 Ni 0.2500 0.2500 0.2500  12 Zn 2.94, 4 Zr 3.07

[7]
Compound: Sc3CuSn
Source: the Open Quantum Materials Database
Functional: PBE-GGA
Structure: relaxed

Values from the calculation:
Theoretical density   4.9 Mg/m³
Total energy   -5.53 eV/atom

a b c (Å): 4.9954 13.8892 6.2070
angles (deg): 90.00 90.00 90.00
Last column: nearest neighbours and their distance in Å.
Space group Cmcm (No. 63)
Inequivalent atoms, fractional coordinates:
1 Sc 0.0000 0.0944 0.2500  2 Sn 2.92, 3 Cu 3.15-3.18, 4 Sc 3.25
2 Sc 0.0000 0.3080 0.0027  3 Cu 2.87-3.04, 1 Sn 2.91, 4 Sc 2.97-3.14
3 Cu 0.0000 0.1345 0.7500  9 Sc 2.87-3.18, 2 Sn 3.01
4 Sn 0.0000 0.4859 0.2500  4 Sc 2.91-2.92, 2 Cu 3.01, 2 Sn 3.13

[8]
Compound: Sm2SbIBr
Source: the Open Quantum Materials Database
Functional: PBE-GGA
Structure: relaxed

Values from the calculation:
Theoretical density   5.7 Mg/m³
Total energy   -4.77 eV/atom

a b c (Å): 4.3649 4.3649 11.0294
angles (deg): 90.00 90.00 120.00
Last column: nearest neighbours and their distance in Å.
Space group P3m1 (No. 156)
Inequivalent atoms, fractional coordinates:
1 Sm 0.0000 0.0000 0.0000  3 Sb 3.08, 3 I 3.21
2 Sm 0.3333 0.6667 0.6809  3 Br 3.05, 3 Sb 3.07
3 Sb 0.6667 0.3333 0.8402  6 Sm 3.07-3.08
4 I 0.3333 0.6667 0.1807  3 Sm 3.21
5 Br 0.0000 0.0000 0.5248  3 Sm 3.05

[9]
Compound: PaZnNO
Source: the Open Quantum Materials Database
Functional: PBE-GGA
Structure: relaxed

Values from the calculation:
Theoretical density   9.3 Mg/m³
E above lowest polymorph   69 meV per atom
Total energy   -6.87 eV/atom

a b c (Å): 5.0476 5.0476 4.5699
angles (deg): 90.00 90.00 90.00
Last column: nearest neighbours and their distance in Å.
Space group P4/nmm (No. 129, origin choice 2)
Inequivalent atoms, fractional coordinates:
1 Pa 0.2500 0.7500 0.0000  2 O 2.28, 4 N 2.52
2 Zn 0.2500 0.2500 0.4983  2 N 2.25-2.32
3 N 0.2500 0.2500 0.0054  2 Zn 2.25-2.32
4 O 0.2500 0.7500 0.5000  2 Pa 2.28, 4 Zn 2.52

[10]
Compound: Al2ZnCd
Source: the Open Quantum Materials Database
Functional: PBE-GGA
Structure: relaxed

Values from the calculation:
Theoretical density   5.3 Mg/m³
Total energy   -2.22 eV/atom

a b c (Å): 6.6428 6.6428 6.6428
angles (deg): 90.00 90.00 90.00
Last column: nearest neighbours and their distance in Å.
Space group F-43m (No. 216)
Inequivalent atoms, fractional coordinates:
1 Al 0.0000 0.0000 0.0000  4 Cd 2.88, 4 Al 2.88
2 Al 0.2500 0.2500 0.2500  4 Al 2.88, 4 Zn 2.88
3 Zn 0.0000 0.0000 0.5000  4 Cd 2.88, 4 Al 2.88
4 Cd 0.2500 0.2500 0.7500  4 Al 2.88, 4 Zn 2.88

[11]
Compound: PrSm2Si4Au4
Source: the Open Quantum Materials Database
Functional: PBE-GGA
Structure: relaxed

Values from the calculation:
Theoretical density   9.7 Mg/m³
Total energy   -5.19 eV/atom

a b c (Å): 4.2536 4.2771 25.2096
angles (deg): 90.00 90.00 90.00
Last column: nearest neighbours and their distance in Å.
Space group Immm (No. 71)
Inequivalent atoms, fractional coordinates:
1 Pr 0.0000 0.0000 0.0000  4 Au 3.21, 8 Si 3.24
2 Sm 0.0000 0.5000 0.1483  6 Si 3.21-3.31, 8 Au 3.30-3.35
3 Si 0.0000 0.0000 0.4526  1 Si 2.39, 2 Au 2.46
4 Si 0.0000 0.5000 0.3085  5 Au 2.42-2.60
5 Au 0.0000 0.0000 0.2505  4 Si 2.59-2.60
6 Au 0.0000 0.5000 0.4047  3 Si 2.42-2.46

[12]
Compound: NdTcAsO
Source: the Open Quantum Materials Database
Functional: PBE-GGA
Structure: relaxed

Values from the calculation:
Theoretical density   6.5 Mg/m³
E above lowest polymorph   1592 meV per atom
Total energy   -6.32 eV/atom

a b c (Å): 4.2418 4.2418 9.4749
angles (deg): 90.00 90.00 90.00
Last column: nearest neighbours and their distance in Å.
Space group P4/nmm (No. 129, origin choice 2)
Inequivalent atoms, fractional coordinates:
1 Nd 0.2500 0.7500 0.0000  4 As 2.99, 4 Nd 3.00
2 Tc 0.2500 0.2500 0.4699  4 O 2.14, 1 As 2.35
3 As 0.2500 0.2500 0.2219  1 Tc 2.35
4 O 0.2500 0.7500 0.5000  4 Tc 2.14

[13]
Compound: NaNi
Source: the Open Quantum Materials Database
Functional: PBE-GGA
Structure: relaxed

Values from the calculation:
Theoretical density   2.7 Mg/m³
Total energy   -1.87 eV/atom

a b c (Å): 5.8557 5.8557 5.8557
angles (deg): 90.00 90.00 90.00
Last column: nearest neighbours and their distance in Å.
Space group F-43m (No. 216)
Inequivalent atoms, fractional coordinates:
1 Na 0.0000 0.0000 0.0000  4 Ni 2.54
2 Ni 0.2500 0.2500 0.7500  4 Na 2.54

[14]
Compound: Li4AlGaHg2
Source: the Open Quantum Materials Database
Functional: PBE-GGA
Structure: relaxed

Values from the calculation:
Theoretical density   6.6 Mg/m³
Total energy   -2.19 eV/atom

a b c (Å): 4.5481 4.5481 6.3776
angles (deg): 90.00 90.00 90.00
Last column: nearest neighbours and their distance in Å.
Space group P-4m2 (No. 115)
Inequivalent atoms, fractional coordinates:
1 Li 0.0000 0.0000 0.0000  4 Li 2.75, 4 Hg 2.80
2 Li 0.0000 0.5000 0.2427  4 Li 2.75-2.80, 2 Ga 2.75, 2 Al 2.80
3 Li 0.5000 0.5000 0.5000  4 Hg 2.75, 4 Li 2.80
4 Al 0.0000 0.0000 0.5000  4 Hg 2.75, 4 Li 2.80
5 Ga 0.5000 0.5000 0.0000  4 Li 2.75, 4 Hg 2.80
6 Hg 0.0000 0.5000 0.7436  4 Li 2.75-2.80, 2 Al 2.75, 2 Ga 2.80

[15]
Compound: Dy3Mg3Zn2In
Source: the Open Quantum Materials Database
Functional: PBE-GGA
Structure: relaxed

Values from the calculation:
Theoretical density   6.3 Mg/m³
Total energy   -2.92 eV/atom

a b c (Å): 7.2808 7.2808 4.6250
angles (deg): 90.00 90.00 120.00
Last column: nearest neighbours and their distance in Å.
Space group P-62m (No. 189)
Inequivalent atoms, fractional coordinates:
1 Dy 0.0000 0.5657 0.0000  4 Zn 3.16, 1 In 3.16, 2 Mg 3.27
2 Mg 0.0000 0.2491 0.5000  2 Zn 2.78, 2 In 2.94
3 Zn 0.3333 0.6667 0.5000  3 Mg 2.78
4 In 0.0000 0.0000 0.0000  6 Mg 2.94, 3 Dy 3.16

[16]
Compound: PaNiIr
Source: the Open Quantum Materials Database
Functional: PBE-GGA
Structure: relaxed

Values from the calculation:
ΔE_f   -0.088 eV per atom
Theoretical density   12.7 Mg/m³
E above lowest polymorph   371 meV per atom
Total energy   -8.06 eV/atom

a b c (Å): 6.3133 6.3133 6.3133
angles (deg): 90.00 90.00 90.00
Last column: nearest neighbours and their distance in Å.
Space group F-43m (No. 216)
Inequivalent atoms, fractional coordinates:
1 Pa 0.0000 0.0000 0.0000  4 Ni 2.73, 4 Ir 2.73
2 Ni 0.2500 0.2500 0.2500  4 Pa 2.73
3 Ir 0.2500 0.2500 0.7500  4 Pa 2.73

[17]
Compound: ErGaCo
Source: the Open Quantum Materials Database
Functional: PBE-GGA
Structure: relaxed

Values from the calculation:
Theoretical density   9.2 Mg/m³
Total energy   -5.34 eV/atom

a b c (Å): 4.2056 4.2056 6.9828
angles (deg): 90.00 90.00 120.00
Last column: nearest neighbours and their distance in Å.
Space group P6_3mc (No. 186)
Inequivalent atoms, fractional coordinates:
1 Er 0.0000 0.0000 0.0000  6 Co 2.97-3.01, 6 Ga 2.99
2 Ga 0.3333 0.6667 0.2494  3 Co 2.43
3 Co 0.3333 0.6667 0.7546  3 Ga 2.43

[18]
Compound: CsGdTeS
Source: the Open Quantum Materials Database
Functional: PBE-GGA
Structure: relaxed

Values from the calculation:
Theoretical density   5.4 Mg/m³
E above lowest polymorph   0 meV per atom
Total energy   -4.78 eV/atom

a b c (Å): 4.3295 4.3295 17.0768
angles (deg): 90.00 90.00 120.00
Last column: nearest neighbours and their distance in Å.
Space group P-6m2 (No. 187)
Inequivalent atoms, fractional coordinates:
1 Cs 0.0000 0.0000 0.0000  6 S 3.56
2 Cs 0.3333 0.6667 0.5000  6 Te 3.75
3 Gd 0.6667 0.3333 0.2279  3 S 2.85, 3 Te 3.11
4 Te 0.0000 0.0000 0.3360  3 Gd 3.11
5 S 0.3333 0.6667 0.1482  3 Gd 2.85

[19]
Compound: TaNbCuPb
Source: the Open Quantum Materials Database
Functional: PBE-GGA
Structure: relaxed

Values from the calculation:
Theoretical density   12.2 Mg/m³
E above lowest polymorph   0 meV per atom
Total energy   -6.75 eV/atom

a b c (Å): 6.6692 6.6692 6.6692
angles (deg): 90.00 90.00 90.00
Last column: nearest neighbours and their distance in Å.
Space group F-43m (No. 216)
Inequivalent atoms, fractional coordinates:
1 Ta 0.0000 0.0000 0.0000  4 Nb 2.89, 4 Cu 2.89
2 Nb 0.2500 0.2500 0.2500  4 Ta 2.89, 4 Pb 2.89
3 Cu 0.2500 0.2500 0.7500  4 Ta 2.89, 4 Pb 2.89
4 Pb 0.0000 0.0000 0.5000  4 Nb 2.89, 4 Cu 2.89

[20]
Compound: SmSi2GeIr
Source: the Open Quantum Materials Database
Functional: PBE-GGA
Structure: relaxed

Values from the calculation:
Theoretical density   8.6 Mg/m³
Total energy   -6.56 eV/atom

a b c (Å): 4.2852 4.2852 9.9674
angles (deg): 90.00 90.00 90.00
Last column: nearest neighbours and their distance in Å.
Space group I4mm (No. 107)
Inequivalent atoms, fractional coordinates:
1 Sm 0.0000 0.0000 0.0000  4 Ge 3.14, 8 Si 3.19-3.39, 5 Ir 3.38-3.43
2 Si 0.0000 0.5000 0.2367  2 Ir 2.37, 2 Ge 2.63
3 Ge 0.0000 0.0000 0.5835  1 Ir 2.44, 4 Si 2.63
4 Ir 0.0000 0.0000 0.3388  4 Si 2.37, 1 Ge 2.44